A relaxed structure of Ac3Cu4Rh4, computed with PBE-GGA.

Total magnetization = 0.00 μB per cell
SG = P-1 (2)
ΔH_f (0 K) = -3.69 eV per formula unit
Fermi-level density of states = 0.504 states/eV per atom
Crystal system = triclinic

Unit cell a=4.1768 b=4.2435 c=13.4088 alpha=80.89 beta=81.08 gamma=90.02
Sites, in units of the cell vectors:
Rh (0.5493, 0.5468, 0.9012)
Rh (0.3082, 0.8088, 0.3827)
Rh (0.6918, 0.1913, 0.6173)
Rh (0.4508, 0.4533, 0.0988)
Cu (0.7496, 0.7499, 0.5006)
Cu (0.4025, 0.9060, 0.1940)
Cu (0.5976, 0.0941, 0.8060)
Cu (0.2505, 0.2501, 0.4994)
Ac (0.8471, 0.3487, 0.3050)
Ac (0.1530, 0.6513, 0.6950)
Ac (0.0000, 0.0000, 0.0000)

***

A relaxed structure of AcCu4Rh, computed with PBE-GGA.

Total magnetization = 0.00 μB per cell
SG = Cmcm (63)
ΔH_f (0 K) = -0.03 eV per formula unit
Fermi-level density of states = 0.460 states/eV per atom
Crystal system = orthorhombic

Unit cell a=4.0597 b=6.8008 c=7.9033 alpha=90.00 beta=104.88 gamma=90.00
Sites, in units of the cell vectors:
Cu (0.6620, 0.5761, 0.3240)
Cu (0.9260, 0.2500, 0.8519)
Cu (0.5000, 0.5000, 0.0000)
Cu (0.5000, 0.0000, 0.0000)
Cu (0.6620, 0.9239, 0.3240)
Cu (0.3380, 0.4239, 0.6760)
Cu (0.0740, 0.7500, 0.1481)
Cu (0.3380, 0.0761, 0.6760)
Ac (0.1262, 0.2500, 0.2525)
Ac (0.8738, 0.7500, 0.7475)
Rh (0.2413, 0.7500, 0.4826)
Rh (0.7587, 0.2500, 0.5174)